First-principles (GGA-PBEsol) data for an optimized crystal structure of AlZnCl2, as listed in Alexandria via LeMat-Bulk.

Unit cell a=3.842 b=3.842 c=11.393 alpha=90.00 beta=90.00 gamma=90.00
Sites, in units of the cell vectors:
Al 0.000 0.000 0.000
Al 0.500 0.500 0.500
Zn 0.000 0.500 0.750
Zn 0.500 0.000 0.250
Cl 0.000 0.000 0.500
Cl 0.000 0.500 0.250
Cl 0.500 0.000 0.750
Cl 0.500 0.500 0.000

The space group is No. 119. Its final energy is -2.595 eV/atom. The distance to the lowest polymorph of the same formula is 412 meV per atom. As for the formation energy without anion corrections: -0.173 eV/atom.